DFT (PBE-GGA) results for a relaxed RbPmTe2 crystal.

Its energy relative to the elements, uncorrected is -1217 meV per atom. As for the space-group type: P4/mmm. Its uncorrected energy is -4.217 eV per atom. The density of states at the Fermi level comes out at 0.87 states/eV/f.u. The crystal system is tetragonal. As for the density: 5.77 g/cm3. For the total magnetization, the calculation gives 0.00 μB/cell.

The structure in extended XYZ format:
```
4
Lattice="3.9827 0.0000 0.0000 0.0000 3.9827 0.0000 0.0000 0.0000 8.8138" Properties=species:S:1:pos:R:3 pbc="T T T"
Rb 0.0000 0.0000 0.0000
Pm 0.0000 0.0000 4.4069
Te 1.9913 1.9913 2.5851
Te 1.9913 1.9913 6.2288
```

***

DFT (PBE-GGA) results for a relaxed RbPm6Te8 crystal.

Its energy relative to the elements, uncorrected is -1377 meV per atom. As for the space-group type: P-3. Its uncorrected energy is -5.017 eV per atom. The density of states at the Fermi level comes out at 11.79 states/eV/f.u. The crystal system is trigonal. As for the density: 5.76 g/cm3. For the total magnetization, the calculation gives 1.28 μB/cell.

The structure in extended XYZ format:
```
15
Lattice="12.0245 0.0000 0.0000 -6.0122 10.4135 0.0000 0.0000 0.0000 4.5502" Properties=species:S:1:pos:R:3 pbc="T T T"
Rb 0.0000 0.0000 0.0000
Pm -1.2785 5.0506 1.1356
Pm -0.9990 8.9954 1.1356
Pm 3.7347 3.6325 3.4146
Pm 2.2775 6.7810 1.1356
Pm 7.0113 1.4181 3.4146
Pm 7.2907 5.3629 3.4146
Te -3.6197 7.2299 1.1385
Te 1.5608 3.6638 1.1385
Te 0.0000 6.9423 3.4112
Te 3.9534 0.4802 3.4117
Te 2.0589 9.9333 1.1385
Te 6.0122 3.4712 1.1390
Te 4.4514 6.7497 3.4117
Te 9.6319 3.1836 3.4117
```

***

DFT (PBE-GGA) results for a relaxed RbPmTe2 crystal.

Its energy relative to the elements, uncorrected is -1407 meV per atom. As for the space-group type: R-3m. Its uncorrected energy is -4.407 eV per atom. The crystal system is trigonal. As for the density: 5.09 g/cm3. For the total magnetization, the calculation gives 0.00 μB/cell.

The structure in extended XYZ format:
```
4
Lattice="2.3113 1.3344 8.5695 -2.3113 1.3344 8.5695 0.0000 -2.6688 8.5695" Properties=species:S:1:pos:R:3 pbc="T T T"
Rb 0.0000 0.0000 0.0000
Pm 0.0000 0.0000 12.8542
Te 0.0000 0.0000 6.0324
Te 0.0000 0.0000 19.6760
```

***

DFT (PBE-GGA) results for a relaxed Rb3PmTe3 crystal.

Its energy relative to the elements, uncorrected is -1031 meV per atom. As for the space-group type: R3m. Its uncorrected energy is -3.471 eV per atom. The crystal system is trigonal. As for the density: 4.28 g/cm3. For the total magnetization, the calculation gives 0.00 μB/cell.

The structure in extended XYZ format:
```
7
Lattice="5.0350 2.9069 3.4673 -5.0350 2.9069 3.4673 0.0000 -5.8139 3.4673" Properties=species:S:1:pos:R:3 pbc="T T T"
Rb 0.0000 -2.3064 3.4673
Rb -1.9974 1.1532 3.4673
Rb 1.9974 1.1532 3.4673
Pm 0.0000 0.0000 7.5440
Te -2.3691 -1.3678 6.0447
Te 2.3691 -1.3678 6.0447
Te 0.0000 2.7356 6.0447
```